No. 1
First-principles (PBE) data for a relaxed structure of PmMnH4, as listed in Alexandria.

abc: 3.600 11.851 4.925
angles: 90.00 90.00 90.00
Space group Cmcm (No. 63)
One atom of each set of equivalent atoms:
Pm 0.000 0.131 0.250 x4
Mn 0.000 0.405 0.250 x4
H 0.000 0.090 0.750 x4
H 0.000 0.307 0.019 x8
H 0.000 0.500 0.000 x4

Computed properties:
The calculation puts the final energy at -4.92 eV/atom. For the distance to the lowest polymorph of the same formula, the calculation gives 0.0 kJ per mole of atoms. The calculation puts the density of states at the Fermi level at 7.6 states/eV/cell. The total magnetization comes out at 0.3 μB per formula unit.

=====

No. 2
First-principles (PBE) data for a relaxed structure of Lu2Ga9Rh3, as listed in Alexandria.

abc: 13.004 7.540 9.471
angles: 90.00 90.00 90.00
Space group Cmcm (No. 63)
One atom of each set of equivalent atoms:
Lu 0.164 0.166 0.250 x8
Ga 0.000 0.126 0.750 x4
Ga 0.000 0.332 0.068 x8
Ga 0.105 0.444 0.750 x8
Ga 0.168 0.167 0.582 x16
Rh 0.000 0.000 0.000 x4
Rh 0.172 0.500 0.000 x8

Computed properties:
The calculation puts the final energy at -4.84 eV/atom. As for the formation energy: -0.68 eV/atom. The calculation puts the density of states at the Fermi level at 18.6 states/eV/cell. The total magnetization comes out at 0.0 μB per formula unit.

=====

No. 3
First-principles (PBE) data for a relaxed structure of PPdPt2, as listed in Alexandria.

abc: 3.755 10.058 6.521
angles: 90.00 90.00 90.00
Space group Cmcm (No. 63)
One atom of each set of equivalent atoms:
P 0.000 0.204 0.250 x4
Pd 0.000 0.025 0.750 x4
Pt 0.000 0.359 0.519 x8

Computed properties:
The calculation puts the final energy at -6.03 eV/atom. As for the formation energy: -0.36 eV/atom. The calculation puts the density of states at the Fermi level at 6.4 states/eV/cell. The total magnetization comes out at 0.0 μB per formula unit.

=====

No. 4
First-principles (PBE) data for a relaxed structure of Be4CoPd, as listed in Alexandria.

abc: 6.048 6.048 6.048
angles: 90.00 90.00 90.00
Space group F-43m (No. 216)
One atom of each set of equivalent atoms:
Be 0.124 0.124 0.124 x16
Co 0.250 0.250 0.750 x4
Pd 0.000 0.000 0.500 x4

Computed properties:
The calculation puts the final energy at -4.84 eV/atom. As for the formation energy: -0.31 eV/atom. The calculation puts the density of states at the Fermi level at 14.1 states/eV/cell. The total magnetization comes out at 0.6 μB per formula unit.